No. 1
Rb3Th3CoSe8 | PBE | optimized geometry

Values from the calculation:
- Formation energy (no corrections): -1.341 eV/atom
- Space-group type: No. 12
- Total moment: 2.032 μB/f.u.

a b c (Å): 8.4558 8.4558 9.5355
angles (deg): 116.32 116.32 60.00
Last column: nearest neighbours and their distance in Å.
Positions (direct):
Rb  0.0000  0.0000  0.0000  6 Se 3.42-3.52
Rb  0.0000  0.5000  0.0000  6 Se 3.42-3.52
Rb  0.5000  0.0000  0.0000  6 Se 3.42-3.52
Th  0.0000  0.5000  0.5000  6 Se 2.91-2.97
Th  0.5000  0.0000  0.5000  6 Se 2.91-2.97
Th  0.5000  0.5000  0.5000  6 Se 2.91-2.97
Co  0.0000  0.0000  0.5000  6 Se 2.80-2.81
Se  0.2227  0.2227  0.6853  1 Co 2.80, 2 Th 2.91
Se  0.2235  0.7388  0.6859  1 Co 2.81, 2 Th 2.91
Se  0.2612  0.7765  0.3141  1 Co 2.81, 2 Th 2.91
Se  0.2643  0.2643  0.2929  3 Th 2.97
Se  0.7357  0.7357  0.7071  3 Th 2.97
Se  0.7388  0.2235  0.6859  1 Co 2.81, 2 Th 2.91
Se  0.7765  0.2612  0.3141  1 Co 2.81, 2 Th 2.91
Se  0.7773  0.7773  0.3147  1 Co 2.80, 2 Th 2.91

No. 2
SrLaCuSe2 | PBE | optimized geometry

Values from the calculation:
- Formation energy (no corrections): -0.031 eV/atom
- Space-group type: No. 123
- Total moment: 0.000 μB/f.u.

a b c (Å): 5.5736 5.5736 7.8116
angles (deg): 90.00 90.00 90.00
Last column: nearest neighbours and their distance in Å.
Positions (direct):
Sr  0.0000  0.0000  0.0000  2 La 3.91, 4 Cu 3.94
La  0.0000  0.0000  0.5000  4 Se 2.79
Cu  0.5000  0.5000  0.0000  4 Sr 3.94
Se  0.0000  0.5000  0.5000  2 La 2.79
Se  0.5000  0.0000  0.5000  2 La 2.79

No. 3
Y2Ho5Tm12 | PBE | optimized geometry

Values from the calculation:
- Excess energy over the best structure of this formula in the dataset: 274 meV/atom
- Space-group type: No. 12
- Total moment: 0.002 μB/f.u.

a b c (Å): 9.1395 9.1395 13.9304
angles (deg): 124.63 124.63 42.48
Last column: nearest neighbours and their distance in Å.
Positions (direct):
Y  0.2487  0.7513  0.0000  2 Y 3.29-3.33, 2 Ho 3.40, 2 Tm 3.49
Y  0.7513  0.2487  0.0000  2 Y 3.29-3.33, 2 Ho 3.40, 2 Tm 3.49
Ho  0.1099  0.1099  0.2667  7 Tm 3.35-3.58, 2 Y 3.40
Ho  0.1685  0.1685  0.9472  5 Tm 3.37-3.51, 2 Y 3.75, 1 Ho 3.76
Ho  0.5000  0.5000  0.5000  4 Tm 3.17
Ho  0.8315  0.8315  0.0528  5 Tm 3.37-3.51, 2 Y 3.75, 1 Ho 3.76
Ho  0.8901  0.8901  0.7333  7 Tm 3.35-3.58, 2 Y 3.40
Tm  0.0122  0.5042  0.2073  4 Tm 3.15-3.36, 3 Ho 3.37-3.51, 1 Y 3.49
Tm  0.0448  0.0448  0.6435  5 Tm 3.15-3.30, 1 Ho 3.39
Tm  0.0860  0.5887  0.4912  5 Tm 3.13-3.33, 2 Ho 3.17-3.35
Tm  0.4113  0.9140  0.5088  5 Tm 3.13-3.33, 2 Ho 3.17-3.35
Tm  0.4525  0.4525  0.2064  6 Ho 3.65-4.01, 6 Tm 3.70-3.90, 2 Y 3.81
Tm  0.4958  0.9878  0.7927  4 Tm 3.15-3.36, 3 Ho 3.37-3.51, 1 Y 3.49
Tm  0.5042  0.0122  0.2073  4 Tm 3.15-3.36, 3 Ho 3.37-3.51, 1 Y 3.49
Tm  0.5475  0.5475  0.7936  6 Ho 3.65-4.01, 6 Tm 3.70-3.90, 2 Y 3.81
Tm  0.5887  0.0860  0.4912  5 Tm 3.13-3.33, 2 Ho 3.17-3.35
Tm  0.9140  0.4113  0.5088  5 Tm 3.13-3.33, 2 Ho 3.17-3.35
Tm  0.9552  0.9552  0.3565  5 Tm 3.15-3.30, 1 Ho 3.39
Tm  0.9878  0.4958  0.7927  4 Tm 3.15-3.36, 3 Ho 3.37-3.51, 1 Y 3.49

No. 4
Co3Ni6Rh | PBE | optimized geometry

Values from the calculation:
- Excess energy over the best structure of this formula in the dataset: 0 meV/atom
- Space-group type: No. 12
- Total moment: 10.000 μB/f.u.

a b c (Å): 4.7175 4.7175 6.6151
angles (deg): 110.04 110.04 60.11
Last column: nearest neighbours and their distance in Å.
Positions (direct):
Co  0.0000  0.0000  0.0000  4 Ni 2.31, 2 Co 2.31
Co  0.0697  0.0697  0.6932  4 Ni 2.31-2.41, 2 Co 2.31-2.35
Co  0.9303  0.9303  0.3068  4 Ni 2.31-2.41, 2 Co 2.31-2.35
Ni  0.0696  0.5613  0.6980  3 Co 2.31-2.41, 3 Ni 2.32-2.41
Ni  0.3533  0.3533  0.0679  9 Ni 2.61-2.87, 1 Rh 2.63, 6 Co 2.64-2.77
Ni  0.4387  0.9304  0.3020  3 Co 2.31-2.41, 3 Ni 2.32-2.41
Ni  0.5613  0.0696  0.6980  3 Co 2.31-2.41, 3 Ni 2.32-2.41
Ni  0.6467  0.6467  0.9321  9 Ni 2.61-2.87, 1 Rh 2.63, 6 Co 2.64-2.77
Ni  0.9304  0.4387  0.3020  3 Co 2.31-2.41, 3 Ni 2.32-2.41
Rh  0.5000  0.5000  0.5000  10 Ni 2.63-2.67, 4 Co 2.64

No. 5
CoIr2Se | PBE | optimized geometry

Values from the calculation:
- Formation energy (no corrections): 0.321 eV/atom
- Space-group type: No. 12
- Total moment: 1.751 μB/f.u.

a b c (Å): 4.5849 4.5849 4.7267
angles (deg): 99.68 99.68 36.14
Last column: nearest neighbours and their distance in Å.
Positions (direct):
Co  0.0000  0.0000  0.0000  6 Ir 2.64-2.67, 4 Se 2.76, 2 Co 2.84
Ir  0.2559  0.2559  0.7620  3 Co 2.64-2.67, 3 Se 2.64-2.75, 6 Ir 2.68-2.84
Ir  0.7441  0.7441  0.2380  3 Co 2.64-2.67, 3 Se 2.64-2.75, 6 Ir 2.68-2.84
Se  0.5000  0.5000  0.5000  6 Ir 2.64-2.75, 4 Co 2.76, 2 Se 2.84

No. 6
Tl2CuSn | PBE | optimized geometry

Values from the calculation:
- Excess energy over the best structure of this formula in the dataset: 42 meV/atom
- Space-group type: No. 166
- Total moment: 0.000 μB/f.u.

a b c (Å): 11.1302 11.1302 11.1302
angles (deg): 17.34 17.34 17.34
Last column: nearest neighbours and their distance in Å.
Positions (direct):
Tl  0.0806  0.0806  0.0806  1 Cu 2.65
Tl  0.9194  0.9194  0.9194  1 Cu 2.65
Cu  0.0000  0.0000  0.0000  2 Tl 2.65
Sn  0.5000  0.5000  0.5000  6 Sn 3.35, 6 Tl 3.43

No. 7
Ba2TaPt | PBE | optimized geometry

Values from the calculation:
- Excess energy over the best structure of this formula in the dataset: 51 meV/atom
- Space-group type: No. 71
- Total moment: 0.002 μB/f.u.

a b c (Å): 10.1221 10.1221 10.1221
angles (deg): 159.27 157.54 30.75
Last column: nearest neighbours and their distance in Å.
Positions (direct):
Ba  0.1473  0.1473  0.0000  2 Pt 3.40, 2 Ta 3.49, 2 Ba 3.64
Ba  0.8527  0.8527  0.0000  2 Pt 3.40, 2 Ta 3.49, 2 Ba 3.64
Ta  0.5000  0.0000  0.5000  4 Pt 2.68
Pt  0.0000  0.5000  0.5000  4 Ta 2.68

No. 8
NaAlW3 | PBE | optimized geometry

Values from the calculation:
- Excess energy over the best structure of this formula in the dataset: 0 meV/atom
- Space-group type: No. 221
- Total moment: 0.000 μB/f.u.

a b c (Å): 4.6568 4.6568 4.6568
angles (deg): 90.00 90.00 90.00
Last column: nearest neighbours and their distance in Å.
Positions (direct):
Na  0.0000  0.0000  0.0000  12 W 3.29
Al  0.5000  0.5000  0.5000  6 W 2.33
W  0.0000  0.5000  0.5000  2 Al 2.33
W  0.5000  0.0000  0.5000  2 Al 2.33
W  0.5000  0.5000  0.0000  2 Al 2.33

No. 9
Re2WSe | PBE | optimized geometry

Values from the calculation:
- Formation energy (no corrections): 0.556 eV/atom
- Space-group type: No. 10
- Total moment: 0.000 μB/f.u.

a b c (Å): 2.8970 4.1595 5.3155
angles (deg): 90.00 102.84 90.00
Last column: nearest neighbours and their distance in Å.
Positions (direct):
Re  0.1327  0.0000  0.2540  2 Se 2.56, 1 Re 2.64, 2 W 2.81
Re  0.8673  0.0000  0.7460  2 Se 2.56, 1 Re 2.64, 2 W 2.81
W  0.5000  0.5000  0.0000  2 Se 2.66, 8 Re 2.81-2.90, 2 W 2.90
Se  0.5000  0.5000  0.5000  4 Re 2.56, 2 W 2.66

No. 10
AsPRhAu2 | PBE | optimized geometry

Values from the calculation:
- Excess energy over the best structure of this formula in the dataset: 0 meV/atom
- Space-group type: No. 44
- Total moment: 0.000 μB/f.u.

a b c (Å): 10.4456 10.4456 10.4456
angles (deg): 163.92 163.84 22.87
Last column: nearest neighbours and their distance in Å.
Positions (direct):
As  0.0000  0.0000  0.0000  2 Rh 2.60, 2 Au 2.73
P  0.6665  0.1665  0.5000  1 Au 2.40, 4 Rh 2.42
Rh  0.1052  0.6052  0.5000  4 P 2.42, 2 As 2.60
Au  0.3874  0.8874  0.5000  2 As 2.73, 8 Au 2.92-2.96
Au  0.7838  0.2838  0.5000  1 P 2.40

No. 11
Cs2KPdBr6 | PBE | optimized geometry

Values from the calculation:
- Excess energy over the best structure of this formula in the dataset: 11 meV/atom
- Formation energy (no corrections): -1.144 eV/atom
- Space-group type: No. 139
- Total moment: 0.891 μB/f.u.

a b c (Å): 8.0995 8.0995 8.0995
angles (deg): 119.47 119.47 90.91
Last column: nearest neighbours and their distance in Å.
Positions (direct):
Cs  0.2500  0.7500  0.5000  12 Br 4.06-4.09
Cs  0.7500  0.2500  0.5000  12 Br 4.06-4.09
K  0.0000  0.0000  0.0000  6 Br 3.16
Pd  0.5000  0.5000  0.0000  6 Br 2.52-2.62
Br  0.2734  0.2734  0.5469  1 Pd 2.62
Br  0.2734  0.7266  0.0000  1 Pd 2.62
Br  0.2784  0.2784  0.0000  1 Pd 2.52
Br  0.7216  0.7216  0.0000  1 Pd 2.52
Br  0.7266  0.2734  0.0000  1 Pd 2.62
Br  0.7266  0.7266  0.4531  1 Pd 2.62

No. 12
Pr8Mg3Rh2 | PBE | optimized geometry

Values from the calculation:
- Space-group type: No. 12
- Total moment: 0.000 μB/f.u.
- E_tot: -59.4 eV for the cell shown

a b c (Å): 10.6750 10.6750 5.3519
angles (deg): 96.66 96.66 40.07
Last column: nearest neighbours and their distance in Å.
Positions (direct):
Pr  0.0457  0.5915  0.2796  2 Rh 2.87-3.20
Pr  0.0794  0.0794  0.1555  1 Rh 2.70
Pr  0.3470  0.3470  0.7740  1 Mg 3.16, 4 Pr 3.31-3.47
Pr  0.4085  0.9543  0.7204  2 Rh 2.87-3.20
Pr  0.5915  0.0457  0.2796  2 Rh 2.87-3.20
Pr  0.6530  0.6530  0.2260  1 Mg 3.16, 4 Pr 3.31-3.47
Pr  0.9206  0.9206  0.8445  1 Rh 2.70
Pr  0.9543  0.4085  0.7204  2 Rh 2.87-3.20
Mg  0.2869  0.7131  0.5000  3 Mg 3.10-3.12, 2 Pr 3.33
Mg  0.5000  0.5000  0.0000  4 Mg 3.10, 2 Pr 3.16
Mg  0.7131  0.2869  0.5000  3 Mg 3.10-3.12, 2 Pr 3.33
Rh  0.2151  0.2151  0.2317  3 Pr 2.70-2.87
Rh  0.7849  0.7849  0.7683  3 Pr 2.70-2.87

Please write out number 5 again, unchanged.
CoIr2Se | PBE | optimized geometry

Values from the calculation:
- Formation energy (no corrections): 0.321 eV/atom
- Space-group type: No. 12
- Total moment: 1.751 μB/f.u.

a b c (Å): 4.5849 4.5849 4.7267
angles (deg): 99.68 99.68 36.14
Last column: nearest neighbours and their distance in Å.
Positions (direct):
Co  0.0000  0.0000  0.0000  6 Ir 2.64-2.67, 4 Se 2.76, 2 Co 2.84
Ir  0.2559  0.2559  0.7620  3 Co 2.64-2.67, 3 Se 2.64-2.75, 6 Ir 2.68-2.84
Ir  0.7441  0.7441  0.2380  3 Co 2.64-2.67, 3 Se 2.64-2.75, 6 Ir 2.68-2.84
Se  0.5000  0.5000  0.5000  6 Ir 2.64-2.75, 4 Co 2.76, 2 Se 2.84

Repeat the fifth record exactly.
CoIr2Se | PBE | optimized geometry

Values from the calculation:
- Formation energy (no corrections): 0.321 eV/atom
- Space-group type: No. 12
- Total moment: 1.751 μB/f.u.

a b c (Å): 4.5849 4.5849 4.7267
angles (deg): 99.68 99.68 36.14
Last column: nearest neighbours and their distance in Å.
Positions (direct):
Co  0.0000  0.0000  0.0000  6 Ir 2.64-2.67, 4 Se 2.76, 2 Co 2.84
Ir  0.2559  0.2559  0.7620  3 Co 2.64-2.67, 3 Se 2.64-2.75, 6 Ir 2.68-2.84
Ir  0.7441  0.7441  0.2380  3 Co 2.64-2.67, 3 Se 2.64-2.75, 6 Ir 2.68-2.84
Se  0.5000  0.5000  0.5000  6 Ir 2.64-2.75, 4 Co 2.76, 2 Se 2.84

Repeat the sixth record exactly.
Tl2CuSn | PBE | optimized geometry

Values from the calculation:
- Excess energy over the best structure of this formula in the dataset: 42 meV/atom
- Space-group type: No. 166
- Total moment: 0.000 μB/f.u.

a b c (Å): 11.1302 11.1302 11.1302
angles (deg): 17.34 17.34 17.34
Last column: nearest neighbours and their distance in Å.
Positions (direct):
Tl  0.0806  0.0806  0.0806  1 Cu 2.65
Tl  0.9194  0.9194  0.9194  1 Cu 2.65
Cu  0.0000  0.0000  0.0000  2 Tl 2.65
Sn  0.5000  0.5000  0.5000  6 Sn 3.35, 6 Tl 3.43